# 1
{
  "formula": "Nd2MgAg4",
  "functional": "PBE-GGA",
  "state": "optimized geometry",
  "e_above_lowest_polymorph_mev_per_atom": 0,
  "spacegroup": "No. 166",
  "m_tot_mub_per_cell": 0.00,
  "lattice_angstrom": [[-2.679, -2.685, 2.753], [1.401, -4.327, 1.133], [4.003, 1.103, 8.959]],
  "species": ["Mg", "Nd", "Nd", "Ag", "Ag", "Ag", "Ag"],
  "fractional_positions": [[0.000, 0.000, 0.000], [0.249, 0.249, 0.252], [0.751, 0.751, 0.748], [0.358, 0.358, 0.925], [0.141, 0.141, 0.578], [0.859, 0.859, 0.422], [0.642, 0.642, 0.075]]
}

---

# 2
{
  "formula": "NdMgAg",
  "functional": "PBE-GGA",
  "state": "optimized geometry",
  "dft_energy_ev_per_atom": -3.144,
  "spacegroup": "No. 216",
  "m_tot_mub_per_cell": 0.00,
  "lattice_angstrom": [[4.943, 0.000, 0.000], [2.471, 4.281, 0.000], [2.471, 1.427, 4.036]],
  "species": ["Ag", "Mg", "Nd"],
  "fractional_positions": [[0.250, 0.250, 0.250], [0.500, 0.500, 0.500], [0.000, 0.000, 0.000]]
}

---

# 3
{
  "formula": "Nd2MgAg3",
  "functional": "PBE-GGA",
  "state": "optimized geometry",
  "e_above_lowest_polymorph_mev_per_atom": 24,
  "spacegroup": "No. 69",
  "m_tot_mub_per_cell": 0.00,
  "lattice_angstrom": [[5.919, -0.961, 0.000], [-1.190, 5.878, 0.000], [-2.365, -2.458, 8.564]],
  "species": ["Nd", "Nd", "Nd", "Nd", "Mg", "Mg", "Ag", "Ag", "Ag", "Ag", "Ag", "Ag"],
  "fractional_positions": [[0.250, 0.750, 0.500], [0.755, 0.755, 0.000], [0.245, 0.245, 0.000], [0.750, 0.250, 0.500], [0.333, 0.333, 0.666], [0.667, 0.667, 0.334], [0.662, 0.170, 0.832], [0.338, 0.830, 0.168], [0.168, 0.168, 0.337], [0.170, 0.662, 0.832], [0.832, 0.832, 0.663], [0.830, 0.338, 0.168]]
}

---

# 4
{
  "formula": "NdMg11Ag",
  "functional": "PBE-GGA",
  "state": "optimized geometry",
  "dft_energy_ev_per_atom": -2.022,
  "spacegroup": "No. 12",
  "m_tot_mub_per_cell": 0.00,
  "lattice_angstrom": [[-0.508, 0.210, 5.743], [-7.267, 1.646, 2.063], [-1.822, -6.967, 2.992]],
  "species": ["Mg", "Mg", "Mg", "Mg", "Mg", "Mg", "Mg", "Mg", "Mg", "Mg", "Mg", "Ag", "Nd"],
  "fractional_positions": [[0.296, 0.216, 0.209], [0.704, 0.784, 0.791], [0.000, 0.500, 0.000], [0.000, 0.000, 0.500], [0.644, 0.356, 0.347], [0.504, 0.216, 0.791], [0.009, 0.644, 0.347], [0.356, 0.644, 0.653], [0.991, 0.356, 0.653], [0.500, 0.000, 0.500], [0.496, 0.784, 0.209], [0.500, 0.500, 0.000], [0.000, 0.000, 0.000]]
}

---

# 5
{
  "formula": "Nd6Mg2Ag",
  "functional": "PBE-GGA",
  "state": "optimized geometry",
  "dft_energy_ev_per_atom": -3.814,
  "spacegroup": "No. 14",
  "m_tot_mub_per_cell": 0.00,
  "lattice_angstrom": [[6.440, 0.000, 0.930], [0.000, 9.759, 0.000], [0.555, 0.000, 9.222]],
  "species": ["Nd", "Nd", "Nd", "Nd", "Nd", "Nd", "Nd", "Nd", "Nd", "Nd", "Nd", "Nd", "Mg", "Mg", "Mg", "Mg", "Ag", "Ag"],
  "fractional_positions": [[0.627, 0.464, 0.299], [0.399, 0.829, 0.025], [0.899, 0.671, 0.525], [0.127, 0.036, 0.799], [0.373, 0.536, 0.701], [0.601, 0.171, 0.975], [0.911, 0.692, 0.946], [0.101, 0.329, 0.475], [0.589, 0.192, 0.554], [0.411, 0.808, 0.446], [0.873, 0.964, 0.201], [0.089, 0.308, 0.054], [0.341, 0.092, 0.280], [0.841, 0.408, 0.780], [0.159, 0.592, 0.220], [0.659, 0.908, 0.720], [0.000, 0.000, 0.500], [0.500, 0.500, 0.000]]
}

---

# 6
{
  "formula": "Nd3Mg7Ag4",
  "functional": "PBE-GGA",
  "state": "optimized geometry",
  "dft_energy_ev_per_atom": -2.837,
  "spacegroup": "No. 12",
  "m_tot_mub_per_cell": 0.00,
  "lattice_angstrom": [[4.420, 0.000, 1.115], [1.618, 8.068, 2.903], [-0.024, -0.009, 9.414]],
  "species": ["Ag", "Ag", "Ag", "Ag", "Nd", "Nd", "Nd", "Mg", "Mg", "Mg", "Mg", "Mg", "Mg", "Mg"],
  "fractional_positions": [[0.116, 0.099, 0.670], [0.884, 0.901, 0.330], [0.339, 0.555, 0.766], [0.661, 0.445, 0.234], [0.000, 0.500, 0.500], [0.693, 0.816, 0.799], [0.307, 0.184, 0.201], [0.838, 0.395, 0.930], [0.322, 0.840, 0.517], [0.000, 0.000, 0.000], [0.162, 0.605, 0.070], [0.678, 0.160, 0.483], [0.490, 0.219, 0.801], [0.510, 0.781, 0.199]]
}

---

# 7
{
  "formula": "NdMgAg3",
  "functional": "PBE-GGA",
  "state": "optimized geometry",
  "dft_energy_ev_per_atom": -3.123,
  "spacegroup": "No. 194",
  "m_tot_mub_per_cell": 0.00,
  "lattice_angstrom": [[5.725, 0.000, 0.000], [0.000, 6.790, 0.000], [0.000, -3.395, 5.879]],
  "species": ["Ag", "Ag", "Ag", "Ag", "Ag", "Ag", "Nd", "Nd", "Mg", "Mg"],
  "fractional_positions": [[0.750, 0.197, 0.803], [0.750, 0.197, 0.393], [0.250, 0.803, 0.197], [0.250, 0.803, 0.607], [0.750, 0.607, 0.803], [0.250, 0.393, 0.197], [0.250, 0.333, 0.667], [0.750, 0.667, 0.333], [0.500, 0.000, 0.000], [0.000, 0.000, 0.000]]
}

---

# 8
{
  "formula": "Nd5MgAg3",
  "functional": "PBE-GGA",
  "state": "optimized geometry",
  "dft_energy_ev_per_atom": -3.864,
  "spacegroup": "No. 63",
  "m_tot_mub_per_cell": 0.00,
  "lattice_angstrom": [[6.916, 0.000, 0.000], [0.000, 9.231, 0.000], [0.000, -4.616, 7.983]],
  "species": ["Nd", "Nd", "Nd", "Nd", "Nd", "Nd", "Nd", "Nd", "Nd", "Nd", "Mg", "Mg", "Ag", "Ag", "Ag", "Ag", "Ag", "Ag"],
  "fractional_positions": [[0.250, 0.313, 0.313], [0.750, 0.000, 0.313], [0.250, 0.688, 0.000], [0.500, 0.667, 0.333], [0.250, 0.000, 0.687], [0.000, 0.333, 0.667], [0.750, 0.687, 0.687], [0.000, 0.667, 0.333], [0.750, 0.312, 0.000], [0.500, 0.333, 0.667], [0.000, 0.000, 0.000], [0.500, 0.000, 0.000], [0.750, 0.000, 0.649], [0.250, 0.000, 0.351], [0.750, 0.350, 0.351], [0.250, 0.650, 0.649], [0.750, 0.649, 0.000], [0.250, 0.351, 0.000]]
}

---

# 9
{
  "formula": "Nd5Mg2Ag12",
  "functional": "PBE-GGA",
  "state": "optimized geometry",
  "dft_energy_ev_per_atom": -3.418,
  "spacegroup": "No. 12",
  "m_tot_mub_per_cell": 0.00,
  "lattice_angstrom": [[-3.369, -6.196, -1.168], [-1.422, -0.627, 7.428], [-7.748, 3.420, 2.682]],
  "species": ["Ag", "Ag", "Ag", "Ag", "Ag", "Ag", "Ag", "Ag", "Ag", "Ag", "Ag", "Ag", "Nd", "Nd", "Nd", "Nd", "Nd", "Mg", "Mg"],
  "fractional_positions": [[0.902, 0.890, 0.219], [0.653, 0.589, 0.211], [0.752, 0.333, 0.713], [0.653, 0.200, 0.211], [0.752, 0.954, 0.713], [0.248, 0.667, 0.287], [0.686, 0.551, 0.899], [0.098, 0.110, 0.781], [0.314, 0.449, 0.101], [0.347, 0.800, 0.789], [0.248, 0.046, 0.287], [0.347, 0.411, 0.789], [0.038, 0.700, 0.600], [0.438, 0.245, 0.509], [0.562, 0.755, 0.491], [0.962, 0.300, 0.400], [0.500, 0.000, 0.000], [0.000, 0.721, 0.000], [0.000, 0.279, 0.000]]
}

---

# 10
{
  "formula": "NdMg3Ag",
  "functional": "PBE-GGA",
  "state": "optimized geometry",
  "e_above_lowest_polymorph_mev_per_atom": 1,
  "spacegroup": "No. 62",
  "m_tot_mub_per_cell": 0.00,
  "lattice_angstrom": [[-3.726, -2.311, -0.362], [4.925, -7.880, -0.382], [-0.583, -0.950, 12.075]],
  "species": ["Mg", "Mg", "Mg", "Mg", "Mg", "Mg", "Mg", "Mg", "Mg", "Mg", "Mg", "Mg", "Ag", "Ag", "Ag", "Ag", "Nd", "Nd", "Nd", "Nd"],
  "fractional_positions": [[0.250, 0.853, 0.210], [0.750, 0.147, 0.790], [0.250, 0.401, 0.727], [0.750, 0.446, 0.915], [0.750, 0.599, 0.273], [0.750, 0.946, 0.585], [0.250, 0.054, 0.415], [0.750, 0.099, 0.227], [0.250, 0.554, 0.085], [0.250, 0.901, 0.773], [0.250, 0.353, 0.290], [0.750, 0.647, 0.710], [0.750, 0.365, 0.134], [0.750, 0.865, 0.366], [0.250, 0.635, 0.866], [0.250, 0.135, 0.634], [0.750, 0.833, 0.993], [0.250, 0.667, 0.493], [0.250, 0.167, 0.007], [0.750, 0.333, 0.507]]
}

---

# 11
{
  "formula": "Nd3Mg5Ag2",
  "functional": "PBE-GGA",
  "state": "optimized geometry",
  "e_above_lowest_polymorph_mev_per_atom": 0,
  "spacegroup": "No. 127",
  "m_tot_mub_per_cell": 0.00,
  "lattice_angstrom": [[4.499, 0.000, 0.000], [0.000, 10.672, 0.000], [0.000, 0.000, 10.672]],
  "species": ["Nd", "Nd", "Nd", "Nd", "Nd", "Nd", "Mg", "Mg", "Mg", "Mg", "Mg", "Mg", "Mg", "Mg", "Mg", "Mg", "Ag", "Ag", "Ag", "Ag"],
  "fractional_positions": [[0.000, 0.000, 0.000], [0.000, 0.679, 0.179], [0.000, 0.821, 0.679], [0.000, 0.321, 0.821], [0.000, 0.179, 0.321], [0.000, 0.500, 0.500], [0.500, 0.718, 0.436], [0.500, 0.218, 0.064], [0.500, 0.564, 0.718], [0.500, 0.436, 0.282], [0.500, 0.064, 0.782], [0.500, 0.500, 0.000], [0.500, 0.000, 0.500], [0.500, 0.936, 0.218], [0.500, 0.282, 0.564], [0.500, 0.782, 0.936], [0.000, 0.885, 0.385], [0.000, 0.385, 0.115], [0.000, 0.615, 0.885], [0.000, 0.115, 0.615]]
}

---

# 12
{
  "formula": "NdMg2Ag3",
  "functional": "PBE-GGA",
  "state": "optimized geometry",
  "dft_energy_ev_per_atom": -3.000,
  "spacegroup": "No. 194",
  "m_tot_mub_per_cell": 0.00,
  "lattice_angstrom": [[4.787, 0.000, 0.000], [-2.393, 4.146, 0.000], [0.000, 0.000, 13.255]],
  "species": ["Ag", "Ag", "Ag", "Ag", "Ag", "Ag", "Nd", "Nd", "Mg", "Mg", "Mg", "Mg"],
  "fractional_positions": [[0.000, 0.000, 0.500], [0.333, 0.667, 0.136], [0.667, 0.333, 0.864], [0.667, 0.333, 0.636], [0.333, 0.667, 0.364], [0.000, 0.000, 0.000], [0.000, 0.000, 0.250], [0.000, 0.000, 0.750], [0.333, 0.667, 0.924], [0.667, 0.333, 0.424], [0.667, 0.333, 0.076], [0.333, 0.667, 0.576]]
}

---

What are the mass density values for these records? In order: 6.8 5.4 7.3 2.9 5.9 5.1 7.2 7.0 7.9 4.4 5.0 6.5 Mg/m³.